(1)
A geometry-optimized LiAc3Sm3S8 structure. Source: the Alexandria database, functional PBE-GGA.

Unit cell a=8.179 b=8.180 c=8.303 alpha=119.50 beta=90.00 gamma=120.00
Element x y z (fractional)
Li 0.000 0.000 0.500
Ac 0.000 0.000 0.000
Ac 0.000 0.500 0.000
Ac 0.500 0.500 0.000
Sm 0.500 0.000 0.500
Sm 0.500 0.500 0.500
Sm 0.000 0.500 0.500
S 0.257 0.514 0.271
S 0.743 0.486 0.729
S 0.759 0.518 0.272
S 0.241 0.482 0.728
S 0.759 0.013 0.272
S 0.241 0.987 0.728
S 0.254 0.013 0.272
S 0.746 0.987 0.728

Mass density   5.85 Mg/m³
SG   No. 166
DOS at the Fermi energy   4.84 states/eV/f.u.
Energy   -6.07 eV/atom

(2)
A geometry-optimized Pr5ErMg5 structure. Source: the Alexandria database, functional PBE-GGA.

Unit cell a=5.928 b=9.640 c=6.817 alpha=110.65 beta=90.00 gamma=107.91
Element x y z (fractional)
Pr 0.685 0.371 0.186
Pr 0.634 0.267 0.635
Pr 0.000 0.000 0.500
Pr 0.366 0.733 0.365
Pr 0.315 0.629 0.814
Er 0.000 0.000 0.000
Mg 0.834 0.667 0.064
Mg 0.834 0.668 0.603
Mg 0.500 0.000 0.000
Mg 0.166 0.332 0.397
Mg 0.166 0.333 0.936

Mass density   4.79 Mg/m³
SG   No. 12
DOS at the Fermi energy   13.70 states/eV/f.u.
Energy of formation from the pure elements   0.128 eV/atom

(3)
A geometry-optimized Dy4Cu3Pt structure. Source: the Alexandria database, functional PBE-GGA.

Unit cell a=3.797 b=4.449 c=10.334 alpha=90.00 beta=90.00 gamma=90.00
Element x y z (fractional)
Dy 0.500 0.500 0.359
Dy 0.000 0.500 0.862
Dy 0.000 0.000 0.139
Dy 0.500 0.000 0.640
Cu 0.000 0.500 0.571
Cu 0.000 0.000 0.429
Cu 0.500 0.000 0.921
Pt 0.500 0.500 0.079

Mass density   9.85 Mg/m³
SG   No. 25
DOS at the Fermi energy   4.63 states/eV/f.u.
Energy of formation from the pure elements   -0.537 eV/atom

(4)
A geometry-optimized InRe2Os structure. Source: the Alexandria database, functional PBE-GGA.

Unit cell a=2.804 b=2.804 c=9.307 alpha=90.00 beta=90.00 gamma=117.08
Element x y z (fractional)
In 0.000 0.000 0.503
Os 0.500 0.500 0.762
Re 0.000 0.000 0.000
Re 0.500 0.500 0.236

Mass density   17.27 Mg/m³
SG   No. 35
DOS at the Fermi energy   3.77 states/eV/f.u.
Energy of formation from the pure elements   0.601 eV/atom